No. 1
Entry from Alexandria: an optimized crystal structure of Cu2Se3 (PBEsol).

Cell and atoms, written as extended XYZ:
```
15
Lattice="3.615 0.000 0.000 -1.807 3.131 0.000 0.000 0.000 22.631" Properties=species:S:1:pos:R:3 pbc="T T T"
Cu 0.000 0.000 2.278
Cu 0.000 0.000 20.353
Cu 0.000 2.087 12.810
Cu 0.000 2.087 17.365
Cu 1.807 1.044 5.266
Cu 1.807 1.044 9.821
Se 0.000 0.000 6.513
Se 0.000 0.000 11.315
Se 0.000 0.000 16.118
Se 0.000 2.087 3.772
Se 0.000 2.087 8.574
Se 0.000 2.087 21.600
Se 1.807 1.044 1.031
Se 1.807 1.044 14.057
Se 1.807 1.044 18.859
```

The density of states at the Fermi level comes out at 8.73 states/eV/cell. The value obtained for the density is 7080 kg/m3. The calculation puts the uncorrected energy at -4.093 eV/atom. The total magnetization comes out at 0.00 μB/f.u.

No. 2
Entry from Alexandria: an optimized crystal structure of V2ZnO4 (PBEsol).

Cell and atoms, written as extended XYZ:
```
42
Lattice="5.209 -2.911 0.000 5.209 2.911 0.000 -0.070 0.000 14.522" Properties=species:S:1:pos:R:3 pbc="T T T"
V 0.000 0.000 0.000
V 10.400 0.000 3.593
V -0.027 0.000 9.013
V 2.599 1.448 1.812
V 4.335 1.474 11.470
V 5.994 1.491 6.671
V 3.403 0.000 4.891
V 2.599 -1.448 1.812
V 6.920 0.000 9.655
V 6.931 0.000 13.288
V 4.335 -1.474 11.470
V 5.994 -1.491 6.671
Zn 1.746 0.000 11.454
Zn 3.428 0.000 13.891
Zn 3.469 0.000 8.480
Zn 5.195 0.000 1.805
Zn 6.885 0.000 4.235
Zn 8.571 0.000 6.652
O -0.011 0.000 5.454
O -0.020 0.000 12.646
O 2.691 1.465 12.625
O 4.362 1.579 7.807
O 1.577 0.000 7.841
O 4.256 1.438 0.653
O 1.765 0.000 0.652
O 5.956 1.504 10.253
O 3.393 0.000 3.003
O 3.503 0.000 10.428
O 6.142 1.440 2.949
O 7.638 1.444 5.503
O 5.170 0.000 5.540
O 5.181 0.000 12.596
O 2.691 -1.465 12.625
O 6.752 0.000 7.788
O 4.256 -1.438 0.653
O 7.011 0.000 0.641
O 4.362 -1.579 7.807
O 8.636 0.000 2.955
O 5.956 -1.504 10.253
O 6.142 -1.440 2.949
O 8.746 0.000 10.263
O 7.638 -1.444 5.503
```

The density of states at the Fermi level comes out at 19.93 states/eV/cell. The value obtained for the density is 5231 kg/m3. The energy relative to the lowest polymorph listed for this composition is 115 meV per atom. The calculation puts the uncorrected energy at -7.910 eV/atom. The total magnetization comes out at 4.01 μB/f.u.

No. 3
Entry from Alexandria: an optimized crystal structure of SrZr2TeOs (PBEsol).

Cell and atoms, written as extended XYZ:
```
5
Lattice="5.281 0.000 0.000 0.000 5.281 0.000 0.000 0.000 4.916" Properties=species:S:1:pos:R:3 pbc="T T T"
Sr 0.000 0.000 0.000
Zr 0.000 2.640 2.458
Zr 2.640 0.000 2.458
Te 2.640 2.640 2.458
Os 2.640 2.640 0.000
```

The density of states at the Fermi level comes out at 6.79 states/eV/cell. The value obtained for the density is 7121 kg/m3. The calculation puts the uncorrected energy at -6.337 eV/atom. The total magnetization comes out at 0.00 μB/f.u.

No. 4
Entry from Alexandria: an optimized crystal structure of AgPRuI2 (PBEsol).

Cell and atoms, written as extended XYZ:
```
5
Lattice="5.530 0.000 0.000 0.000 5.530 0.000 0.000 0.000 4.335" Properties=species:S:1:pos:R:3 pbc="T T T"
Ag 0.000 0.000 0.000
P 2.765 2.765 2.168
Ru 2.765 2.765 0.000
I 0.000 2.765 2.168
I 2.765 0.000 2.168
```

The density of states at the Fermi level comes out at 2.60 states/eV/cell. The value obtained for the density is 6183 kg/m3. The calculation puts the uncorrected energy at -3.711 eV/atom. The total magnetization comes out at 0.74 μB/f.u.

No. 5
Entry from Alexandria: an optimized crystal structure of Sm2SiTeO4 (PBEsol).

Cell and atoms, written as extended XYZ:
```
32
Lattice="6.215 0.000 0.000 0.000 7.071 0.000 0.000 0.000 11.038" Properties=species:S:1:pos:R:3 pbc="T T T"
Sm 0.689 1.768 0.000
Sm 0.689 1.768 5.519
Sm 2.401 3.789 2.760
Sm 2.401 6.818 8.279
Sm 3.814 0.253 2.760
Sm 3.814 3.282 8.279
Sm 5.526 5.303 0.000
Sm 5.526 5.303 5.519
Si 2.406 5.303 0.000
Si 2.406 5.303 5.519
Si 3.809 1.768 0.000
Si 3.809 1.768 5.519
Te 0.614 4.109 8.279
Te 0.614 6.497 2.760
Te 5.601 0.574 8.279
Te 5.601 2.962 2.760
O 1.421 4.054 0.402
O 1.421 4.054 5.117
O 1.421 6.552 5.921
O 1.421 6.552 10.637
O 2.780 1.652 6.813
O 2.780 1.652 9.744
O 2.780 1.883 1.294
O 2.780 1.883 4.225
O 3.436 5.188 6.813
O 3.436 5.188 9.744
O 3.436 5.418 1.294
O 3.436 5.418 4.225
O 4.794 0.518 0.402
O 4.794 0.518 5.117
O 4.794 3.017 5.921
O 4.794 3.017 10.637
```

The density of states at the Fermi level comes out at 0.00 states/eV/cell. The value obtained for the density is 7126 kg/m3. The energy relative to the lowest polymorph listed for this composition is 0 meV per atom. The calculation puts the uncorrected energy at -7.990 eV/atom. The total magnetization comes out at 0.00 μB/f.u.

No. 6
Entry from Alexandria: an optimized crystal structure of YTlCl3 (PBEsol).

Cell and atoms, written as extended XYZ:
```
5
Lattice="5.231 0.000 0.000 0.000 5.231 0.000 0.000 0.000 5.231" Properties=species:S:1:pos:R:3 pbc="T T T"
Y 0.000 0.000 0.000
Tl 2.615 2.615 2.615
Cl 0.000 0.000 2.615
Cl 0.000 2.615 0.000
Cl 2.615 0.000 0.000
```

The density of states at the Fermi level comes out at 4.41 states/eV/cell. The value obtained for the density is 4637 kg/m3. The calculation puts the uncorrected energy at -4.596 eV/atom. The total magnetization comes out at 0.00 μB/f.u.

No. 7
Entry from Alexandria: an optimized crystal structure of KZr2As3O12 (PBEsol).

Cell and atoms, written as extended XYZ:
```
36
Lattice="4.585 2.647 8.157 -4.585 2.647 8.157 0.000 -5.295 8.157" Properties=species:S:1:pos:R:3 pbc="T T T"
K 0.000 0.000 0.000
K 0.000 0.000 12.235
Zr 0.000 0.000 3.591
Zr 0.000 0.000 8.644
Zr 0.000 0.000 15.826
Zr 0.000 0.000 20.879
As -3.279 -0.385 10.196
As -1.306 -3.032 14.274
As 1.973 -2.647 10.196
As -1.973 2.647 14.274
As 1.306 3.032 10.196
As 3.279 0.385 14.274
O -3.476 -1.355 11.574
O -3.970 1.148 10.433
O -2.979 -2.864 14.037
O -0.565 -1.607 7.496
O -1.606 -0.217 9.959
O -0.565 -3.687 12.895
O -1.110 1.293 7.496
O 0.991 -4.012 10.433
O -2.911 2.333 12.895
O -0.616 -1.499 14.511
O 0.991 -1.283 9.959
O -1.674 -0.315 16.974
O 1.674 0.315 7.496
O -0.991 1.283 14.511
O 0.616 1.499 9.959
O 2.911 -2.333 11.574
O -0.991 4.012 14.037
O 1.110 -1.293 16.974
O 0.565 3.687 11.574
O 1.606 0.217 14.511
O 0.565 1.607 16.974
O 2.979 2.864 10.433
O 3.970 -1.148 14.037
O 3.476 1.355 12.895
```

The density of states at the Fermi level comes out at 0.00 states/eV/cell. The value obtained for the density is 3568 kg/m3. The calculation puts the uncorrected energy at -7.507 eV/atom. The total magnetization comes out at 0.00 μB/f.u.

No. 8
Entry from Alexandria: an optimized crystal structure of Ba2LiCa (PBEsol).

Cell and atoms, written as extended XYZ:
```
16
Lattice="9.101 0.000 0.000 0.000 9.101 0.000 0.000 0.000 9.101" Properties=species:S:1:pos:R:3 pbc="T T T"
Ba 2.275 2.275 2.275
Ba 2.275 2.275 6.826
Ba 2.275 6.826 2.275
Ba 2.275 6.826 6.826
Ba 6.826 2.275 2.275
Ba 6.826 2.275 6.826
Ba 6.826 6.826 2.275
Ba 6.826 6.826 6.826
Li 0.000 0.000 0.000
Li 0.000 4.550 4.550
Li 4.550 0.000 4.550
Li 4.550 4.550 0.000
Ca 0.000 0.000 4.550
Ca 0.000 4.550 0.000
Ca 4.550 0.000 0.000
Ca 4.550 4.550 4.550
```

The density of states at the Fermi level comes out at 27.22 states/eV/cell. The value obtained for the density is 2834 kg/m3. As for the calculated formation energy: 0.096 eV per atom. The energy relative to the lowest polymorph listed for this composition is 66 meV per atom. The calculation puts the uncorrected energy at -2.004 eV/atom. The total magnetization comes out at 0.00 μB/f.u.

No. 9
Entry from Alexandria: an optimized crystal structure of CdSbAs (PBEsol).

Cell and atoms, written as extended XYZ:
```
6
Lattice="3.229 0.000 0.000 0.000 4.154 0.000 0.000 0.000 10.468" Properties=species:S:1:pos:R:3 pbc="T T T"
Cd 0.000 0.000 0.000
Cd 1.614 2.077 5.234
Sb 0.000 0.000 6.987
Sb 1.614 2.077 1.753
As 0.000 0.000 4.094
As 1.614 2.077 9.329
```

The density of states at the Fermi level comes out at 3.03 states/eV/cell. The value obtained for the density is 7310 kg/m3. The energy relative to the lowest polymorph listed for this composition is 1 meV per atom. The calculation puts the uncorrected energy at -3.380 eV/atom. The total magnetization comes out at 0.00 μB/f.u.

No. 10
Entry from Alexandria: an optimized crystal structure of NaMnCo3 (PBEsol).

Cell and atoms, written as extended XYZ:
```
5
Lattice="4.184 0.000 0.000 0.000 4.184 0.000 0.000 0.000 4.184" Properties=species:S:1:pos:R:3 pbc="T T T"
Na 0.000 0.000 0.000
Mn 2.092 2.092 2.092
Co 0.000 2.092 2.092
Co 2.092 0.000 2.092
Co 2.092 2.092 0.000
```

The density of states at the Fermi level comes out at 6.57 states/eV/cell. The value obtained for the density is 5774 kg/m3. As for the calculated formation energy: 1.162 eV per atom. The calculation puts the uncorrected energy at -5.712 eV/atom. The total magnetization comes out at 1.61 μB/f.u.

No. 11
Entry from Alexandria: an optimized crystal structure of Li7NbS6 (PBEsol).

Cell and atoms, written as extended XYZ:
```
56
Lattice="10.005 0.000 0.000 0.000 10.005 0.000 0.000 0.000 10.005" Properties=species:S:1:pos:R:3 pbc="T T T"
Li 0.090 2.775 1.867
Li 0.249 8.361 6.789
Li 1.136 6.139 8.869
Li 1.645 1.786 4.754
Li 1.786 4.754 1.645
Li 1.867 0.090 2.775
Li 2.228 8.138 5.092
Li 2.775 1.867 0.090
Li 3.136 9.916 7.777
Li 3.216 5.252 6.647
Li 3.358 8.219 9.756
Li 3.867 3.867 3.867
Li 4.754 1.645 1.786
Li 4.913 7.231 6.870
Li 5.092 2.228 8.138
Li 5.252 6.647 3.216
Li 6.139 8.869 1.136
Li 6.647 3.216 5.252
Li 6.789 0.249 8.361
Li 6.870 4.913 7.231
Li 7.231 6.870 4.913
Li 7.777 3.136 9.916
Li 8.138 5.092 2.228
Li 8.219 9.756 3.358
Li 8.361 6.789 0.249
Li 8.869 1.136 6.139
Li 9.756 3.358 8.219
Li 9.916 7.777 3.136
Nb 0.118 4.885 5.120
Nb 4.885 5.120 0.118
Nb 5.120 0.118 4.885
Nb 9.888 9.888 9.888
S 0.287 9.718 4.715
S 1.105 1.184 8.476
S 1.184 8.476 1.105
S 1.418 3.584 6.421
S 1.529 6.108 3.819
S 2.445 2.445 2.445
S 2.558 7.560 7.448
S 3.474 3.897 8.821
S 3.584 6.421 1.418
S 3.819 1.529 6.108
S 3.897 8.821 3.474
S 4.715 0.287 9.718
S 5.290 5.290 5.290
S 6.108 3.819 1.529
S 6.187 6.531 8.900
S 6.421 1.418 3.584
S 6.531 8.900 6.187
S 7.448 2.558 7.560
S 7.560 7.448 2.558
S 8.476 1.105 1.184
S 8.587 8.587 8.587
S 8.821 3.474 3.897
S 8.900 6.187 6.531
S 9.718 4.715 0.287
```

The density of states at the Fermi level comes out at 0.00 states/eV/cell. The value obtained for the density is 2214 kg/m3. The energy relative to the lowest polymorph listed for this composition is 11 meV per atom. The calculation puts the uncorrected energy at -4.801 eV/atom. The total magnetization comes out at 0.00 μB/f.u.

No. 12
Entry from Alexandria: an optimized crystal structure of ScNi2Mo (PBEsol).

Cell and atoms, written as extended XYZ:
```
16
Lattice="5.982 0.000 0.000 0.000 5.982 0.000 0.000 0.000 5.982" Properties=species:S:1:pos:R:3 pbc="T T T"
Sc 0.000 0.000 0.000
Sc 0.000 2.991 2.991
Sc 2.991 0.000 2.991
Sc 2.991 2.991 0.000
Ni 0.000 0.000 2.991
Ni 0.000 2.991 0.000
Ni 1.496 1.496 4.487
Ni 1.496 4.487 1.496
Ni 2.991 0.000 0.000
Ni 2.991 2.991 2.991
Ni 4.487 1.496 1.496
Ni 4.487 4.487 4.487
Mo 1.496 1.496 1.496
Mo 1.496 4.487 4.487
Mo 4.487 1.496 4.487
Mo 4.487 4.487 1.496
```

The density of states at the Fermi level comes out at 19.67 states/eV/cell. The value obtained for the density is 8013 kg/m3. As for the calculated formation energy: 0.089 eV per atom. The energy relative to the lowest polymorph listed for this composition is 93 meV per atom. The calculation puts the uncorrected energy at -7.583 eV/atom. The total magnetization comes out at 0.00 μB/f.u.